Sm2DyYHo GGA-PBE optimized geometry; final energy = -4.6023 eV per atom; DOS at the Fermi energy = 1.492 states/eV/atom; formation enthalpy at 0 K = 2.07 eV/f.u.
1.0
4.1780 -5.7823 0.0000
4.1780 5.7823 0.0000
0.0000 0.0000 7.2170
Sm Dy Y Ho
4 2 2 2
Direct
0.1928 0.1928 0.0000 Sm
0.1928 0.1928 0.5000 Sm
0.8072 0.8072 0.0000 Sm
0.8072 0.8072 0.5000 Sm
0.4763 0.5237 0.7500 Dy
0.5237 0.4763 0.2500 Dy
0.2404 0.7596 0.2500 Y
0.7596 0.2404 0.7500 Y
0.2122 0.7878 0.7500 Ho
0.7878 0.2122 0.2500 Ho